# 1
# TiIn2HgRu

A relaxed TiIn2HgRu crystal (PBE, Alexandria via LeMat-Bulk).

a = 5.2458 Å, b = 5.2458 Å, c = 5.0962 Å
α = 90.00°, β = 90.00°, γ = 90.00°
Last column: nearest neighbours and their distance in Å.
Fractional coordinates of all 5 atoms:
Ti (0.0000, 0.0000, 0.0000)  2 Hg 2.55, 4 In 2.62
In (0.0000, 0.5000, 0.0000)  2 Ti 2.62
In (0.5000, 0.0000, 0.0000)  2 Ti 2.62
Hg (0.0000, 0.0000, 0.5000)  2 Ti 2.55
Ru (0.5000, 0.5000, 0.5000)  8 In 3.66, 4 Hg 3.71

ΔE_f = 1.303 eV/atom

=====

# 2
# MgNbP2

A relaxed MgNbP2 crystal (PBE, Alexandria via LeMat-Bulk).

a = 5.8410 Å, b = 5.8410 Å, c = 11.2194 Å
α = 90.00°, β = 90.00°, γ = 90.00°
Last column: nearest neighbours and their distance in Å.
Fractional coordinates of all 16 atoms:
Mg (0.0000, 0.0000, 0.0000)  4 P 2.58
Mg (0.0000, 0.5000, 0.2500)  4 P 2.58
Mg (0.5000, 0.0000, 0.7500)  4 P 2.58
Mg (0.5000, 0.5000, 0.5000)  4 P 2.58
Nb (0.0000, 0.0000, 0.5000)  4 P 2.42
Nb (0.0000, 0.5000, 0.7500)  4 P 2.42
Nb (0.5000, 0.0000, 0.2500)  4 P 2.42
Nb (0.5000, 0.5000, 0.0000)  4 P 2.42
P (0.2275, 0.2500, 0.6250)  2 Nb 2.42, 2 Mg 2.58
P (0.2500, 0.7275, 0.8750)  2 Nb 2.42, 2 Mg 2.58
P (0.2500, 0.7725, 0.3750)  2 Nb 2.42, 2 Mg 2.58
P (0.2725, 0.2500, 0.1250)  2 Nb 2.42, 2 Mg 2.58
P (0.7275, 0.7500, 0.1250)  2 Nb 2.42, 2 Mg 2.58
P (0.7500, 0.2275, 0.3750)  2 Nb 2.42, 2 Mg 2.58
P (0.7500, 0.2725, 0.8750)  2 Nb 2.42, 2 Mg 2.58
P (0.7725, 0.7500, 0.6250)  2 Nb 2.42, 2 Mg 2.58

ΔE_f = -0.247 eV/atom
energy above the most stable polymorph in this dataset = 1.42 eV/f.u.

=====

# 3
# PmNdCd2

A relaxed PmNdCd2 crystal (PBE, Alexandria via LeMat-Bulk).

a = 5.4181 Å, b = 5.4181 Å, c = 3.8677 Å
α = 90.00°, β = 90.00°, γ = 90.00°
Last column: nearest neighbours and their distance in Å.
Fractional coordinates of all 4 atoms:
Pm (0.0000, 0.0000, 0.0000)  8 Cd 3.33
Nd (0.5000, 0.5000, 0.0000)  8 Cd 3.33
Cd (0.0000, 0.5000, 0.5000)  4 Nd 3.33, 4 Pm 3.33
Cd (0.5000, 0.0000, 0.5000)  4 Nd 3.33, 4 Pm 3.33

ΔE_f = -0.319 eV/atom
energy above the most stable polymorph in this dataset = 0.01 eV/f.u.

=====

# 4
# SrTaW2

A relaxed SrTaW2 crystal (PBE, Alexandria via LeMat-Bulk).

a = 2.9006 Å, b = 2.9006 Å, c = 32.4274 Å
α = 90.00°, β = 90.00°, γ = 120.00°
Last column: nearest neighbours and their distance in Å.
Fractional coordinates of all 12 atoms:
Sr (0.0000, 0.0000, 0.0000)  6 Sr 2.90
Sr (0.3333, 0.6667, 0.6667)  6 Sr 2.90
Sr (0.6667, 0.3333, 0.3333)  6 Sr 2.90
Ta (0.0000, 0.0000, 0.5000)  6 Ta 2.90, 6 W 2.99
Ta (0.3333, 0.6667, 0.1667)  6 Ta 2.90, 6 W 2.99
Ta (0.6667, 0.3333, 0.8333)  6 Ta 2.90, 6 W 2.99
W (0.0000, 0.0000, 0.2431)  6 W 2.90, 3 Ta 2.99
W (0.0000, 0.0000, 0.7569)  6 W 2.90, 3 Ta 2.99
W (0.3333, 0.6667, 0.4236)  6 W 2.90, 3 Ta 2.99
W (0.3333, 0.6667, 0.9098)  6 W 2.90, 3 Ta 2.99
W (0.6667, 0.3333, 0.0902)  6 W 2.90, 3 Ta 2.99
W (0.6667, 0.3333, 0.5764)  6 W 2.90, 3 Ta 2.99

ΔE_f = 1.037 eV/atom
energy above the most stable polymorph in this dataset = 1.37 eV/f.u.

=====

# 5
# Tb5Sm4Dy3

A relaxed Tb5Sm4Dy3 crystal (PBE, Alexandria via LeMat-Bulk).

a = 8.5875 Å, b = 8.5875 Å, c = 9.3283 Å
α = 114.71°, β = 114.71°, γ = 40.33°
Last column: nearest neighbours and their distance in Å.
Fractional coordinates of all 12 atoms:
Tb (0.0000, 0.0000, 0.0000)  4 Dy 2.96-3.10
Tb (0.3276, 0.3276, 0.6130)  4 Dy 3.20-3.46, 3 Sm 3.44-3.54
Tb (0.4271, 0.4271, 0.2992)  2 Dy 3.27-3.48, 2 Tb 3.42-3.66, 2 Sm 3.66
Tb (0.5729, 0.5729, 0.7008)  2 Dy 3.27-3.48, 2 Tb 3.42-3.66, 2 Sm 3.66
Tb (0.6724, 0.6724, 0.3870)  4 Dy 3.20-3.46, 3 Sm 3.44-3.54
Sm (0.0824, 0.0824, 0.4427)  2 Sm 3.28-3.67, 1 Dy 3.42, 3 Tb 3.44-3.54
Sm (0.2147, 0.2147, 0.8799)  3 Dy 3.32-3.53, 3 Sm 3.58-3.67, 3 Tb 3.66-3.68
Sm (0.7853, 0.7853, 0.1201)  3 Dy 3.32-3.53, 3 Sm 3.58-3.67, 3 Tb 3.66-3.68
Sm (0.9176, 0.9176, 0.5573)  2 Sm 3.28-3.67, 1 Dy 3.42, 3 Tb 3.44-3.54
Dy (0.2097, 0.2097, 0.2318)  5 Tb 3.10-3.46, 2 Sm 3.32-3.42
Dy (0.5000, 0.5000, 0.0000)  2 Tb 2.96
Dy (0.7903, 0.7903, 0.7682)  5 Tb 3.10-3.46, 2 Sm 3.32-3.42

ΔE_f = 0.228 eV/atom
energy above the most stable polymorph in this dataset = 2.56 eV/f.u.

=====

# 6
# Mo2WSe2S4

A relaxed Mo2WSe2S4 crystal (PBE, Alexandria via LeMat-Bulk).

a = 3.2334 Å, b = 3.2334 Å, c = 21.9127 Å
α = 90.00°, β = 90.00°, γ = 120.00°
Last column: nearest neighbours and their distance in Å.
Fractional coordinates of all 9 atoms:
Mo (0.0000, 0.0000, 0.1674)  6 S 2.43
Mo (0.0000, 0.0000, 0.8326)  6 S 2.43
W (0.3333, 0.6667, 0.5000)  6 Se 2.54
Se (0.0000, 0.0000, 0.4217)  3 W 2.54
Se (0.0000, 0.0000, 0.5783)  3 W 2.54
S (0.3333, 0.6667, 0.0967)  3 Mo 2.43
S (0.3333, 0.6667, 0.2382)  3 Mo 2.43
S (0.3333, 0.6667, 0.7618)  3 Mo 2.43
S (0.3333, 0.6667, 0.9033)  3 Mo 2.43

ΔE_f (raw) = -0.76 eV per atom
energy above the most stable polymorph in this dataset = 0.21 eV/f.u.

=====

# 7
# NdCo4Ag

A relaxed NdCo4Ag crystal (PBE, Alexandria via LeMat-Bulk).

a = 5.0411 Å, b = 5.0411 Å, c = 5.0411 Å
α = 60.00°, β = 60.00°, γ = 60.00°
Last column: nearest neighbours and their distance in Å.
Fractional coordinates of all 6 atoms:
Nd (0.0000, 0.0000, 0.0000)  12 Co 2.96, 4 Ag 3.09
Co (0.3757, 0.3757, 0.3757)  6 Co 2.51-2.53
Co (0.3757, 0.3757, 0.8728)  6 Co 2.51-2.53
Co (0.3757, 0.8728, 0.3757)  6 Co 2.51-2.53
Co (0.8728, 0.3757, 0.3757)  6 Co 2.51-2.53
Ag (0.7500, 0.7500, 0.7500)  12 Co 2.95, 4 Nd 3.09

ΔE_f = 0.049 eV/atom

=====

# 8
# InP2Au

A relaxed InP2Au crystal (PBE, Alexandria via LeMat-Bulk).

a = 3.5687 Å, b = 3.5687 Å, c = 6.6895 Å
α = 90.00°, β = 90.00°, γ = 90.00°
Last column: nearest neighbours and their distance in Å.
Fractional coordinates of all 4 atoms:
In (0.0000, 0.0000, 0.0000)  2 Au 3.34, 8 P 3.40, 4 In 3.57
P (0.5000, 0.5000, 0.3403)  1 P 2.14
P (0.5000, 0.5000, 0.6597)  1 P 2.14
Au (0.0000, 0.0000, 0.5000)  8 P 2.74

ΔE_f = 0.323 eV/atom

=====

# 9
# CaDySbAu

A relaxed CaDySbAu crystal (PBE, Alexandria via LeMat-Bulk).

a = 7.4238 Å, b = 7.4238 Å, c = 7.4238 Å
α = 90.00°, β = 90.00°, γ = 90.00°
Last column: nearest neighbours and their distance in Å.
Fractional coordinates of all 16 atoms:
Ca (0.0000, 0.0000, 0.0000)  4 Au 3.21, 4 Sb 3.21
Ca (0.0000, 0.5000, 0.5000)  4 Au 3.21, 4 Sb 3.21
Ca (0.5000, 0.0000, 0.5000)  4 Au 3.21, 4 Sb 3.21
Ca (0.5000, 0.5000, 0.0000)  4 Au 3.21, 4 Sb 3.21
Dy (0.0000, 0.0000, 0.5000)  4 Sb 3.21, 4 Au 3.21
Dy (0.0000, 0.5000, 0.0000)  4 Sb 3.21, 4 Au 3.21
Dy (0.5000, 0.0000, 0.0000)  4 Sb 3.21, 4 Au 3.21
Dy (0.5000, 0.5000, 0.5000)  4 Sb 3.21, 4 Au 3.21
Sb (0.2500, 0.2500, 0.2500)  4 Ca 3.21, 4 Dy 3.21
Sb (0.2500, 0.7500, 0.7500)  4 Ca 3.21, 4 Dy 3.21
Sb (0.7500, 0.2500, 0.7500)  4 Ca 3.21, 4 Dy 3.21
Sb (0.7500, 0.7500, 0.2500)  4 Ca 3.21, 4 Dy 3.21
Au (0.2500, 0.2500, 0.7500)  4 Dy 3.21, 4 Ca 3.21
Au (0.2500, 0.7500, 0.2500)  4 Dy 3.21, 4 Ca 3.21
Au (0.7500, 0.2500, 0.2500)  4 Dy 3.21, 4 Ca 3.21
Au (0.7500, 0.7500, 0.7500)  4 Dy 3.21, 4 Ca 3.21

ΔE_f (raw) = -0.80 eV per atom

=====

# 10
# MnOsAu2

A relaxed MnOsAu2 crystal (PBE, Alexandria via LeMat-Bulk).

a = 4.0311 Å, b = 4.0311 Å, c = 7.8062 Å
α = 90.00°, β = 90.00°, γ = 90.00°
Last column: nearest neighbours and their distance in Å.
Fractional coordinates of all 8 atoms:
Mn (0.0000, 0.0000, 0.0000)  4 Os 2.81, 8 Au 2.81-2.85
Mn (0.5000, 0.5000, 0.5000)  4 Os 2.81, 8 Au 2.81-2.85
Os (0.0000, 0.5000, 0.7500)  4 Mn 2.81, 8 Au 2.81-2.85
Os (0.5000, 0.0000, 0.2500)  4 Mn 2.81, 8 Au 2.81-2.85
Au (0.0000, 0.0000, 0.5000)  4 Os 2.81, 4 Au 2.81, 4 Mn 2.85
Au (0.0000, 0.5000, 0.2500)  4 Mn 2.81, 4 Au 2.81, 4 Os 2.85
Au (0.5000, 0.0000, 0.7500)  4 Mn 2.81, 4 Au 2.81, 4 Os 2.85
Au (0.5000, 0.5000, 0.0000)  4 Os 2.81, 4 Au 2.81, 4 Mn 2.85

ΔE_f = 0.403 eV/atom
energy above the most stable polymorph in this dataset = 0.72 eV/f.u.

=====

# 11
# CaLaNiRh

A relaxed CaLaNiRh crystal (PBE, Alexandria via LeMat-Bulk).

a = 7.0170 Å, b = 7.0170 Å, c = 7.0170 Å
α = 90.00°, β = 90.00°, γ = 90.00°
Last column: nearest neighbours and their distance in Å.
Fractional coordinates of all 16 atoms:
Ca (0.0000, 0.0000, 0.0000)  4 Ni 3.04, 4 Rh 3.04
Ca (0.0000, 0.5000, 0.5000)  4 Ni 3.04, 4 Rh 3.04
Ca (0.5000, 0.0000, 0.5000)  4 Ni 3.04, 4 Rh 3.04
Ca (0.5000, 0.5000, 0.0000)  4 Ni 3.04, 4 Rh 3.04
La (0.0000, 0.0000, 0.5000)  4 Rh 3.04, 4 Ni 3.04
La (0.0000, 0.5000, 0.0000)  4 Rh 3.04, 4 Ni 3.04
La (0.5000, 0.0000, 0.0000)  4 Rh 3.04, 4 Ni 3.04
La (0.5000, 0.5000, 0.5000)  4 Rh 3.04, 4 Ni 3.04
Ni (0.2500, 0.2500, 0.2500)  4 La 3.04, 4 Ca 3.04
Ni (0.2500, 0.7500, 0.7500)  4 La 3.04, 4 Ca 3.04
Ni (0.7500, 0.2500, 0.7500)  4 La 3.04, 4 Ca 3.04
Ni (0.7500, 0.7500, 0.2500)  4 La 3.04, 4 Ca 3.04
Rh (0.2500, 0.2500, 0.7500)  4 La 3.04, 4 Ca 3.04
Rh (0.2500, 0.7500, 0.2500)  4 La 3.04, 4 Ca 3.04
Rh (0.7500, 0.2500, 0.2500)  4 La 3.04, 4 Ca 3.04
Rh (0.7500, 0.7500, 0.7500)  4 La 3.04, 4 Ca 3.04

ΔE_f = -0.333 eV/atom
energy above the most stable polymorph in this dataset = 0.40 eV/f.u.

=====

# 12
# SbMoRh

A relaxed SbMoRh crystal (PBE, Alexandria via LeMat-Bulk).

a = 3.0227 Å, b = 3.0227 Å, c = 6.6159 Å
α = 90.00°, β = 90.00°, γ = 120.00°
Last column: nearest neighbours and their distance in Å.
Fractional coordinates of all 3 atoms:
Sb (0.0000, 0.0000, 0.0000)  3 Rh 2.84, 3 Mo 2.92, 6 Sb 3.02
Mo (0.6667, 0.3333, 0.3533)  3 Rh 2.68, 3 Sb 2.92
Rh (0.3333, 0.6667, 0.6608)  3 Mo 2.68, 3 Sb 2.84

ΔE_f (raw) = 0.18 eV per atom

=====

Number 1: V 140.2 Å³ per cell. Number 2: V 382.8 Å³ per cell. Number 3: V 113.5 Å³ per cell. Number 4: V 236.3 Å³ per cell. Number 5: V 398.6 Å³ per cell. Number 6: V 198.4 Å³ per cell. Number 7: V 90.6 Å³ per cell. Number 8: V 85.2 Å³ per cell. Number 9: V 409.1 Å³ per cell. Number 10: V 126.9 Å³ per cell. Number 11: V 345.5 Å³ per cell. Number 12: V 52.4 Å³ per cell.